No. 1
Material: RbAl3Ga2
Method: DFT, PBE-GGA
State: relaxed

Computed properties:
For the energy relative to the elements, the calculation gives -30 meV/atom. The calculation puts the final energy at -3.07 eV/atom. The calculation puts the volume at 23.0 Å³/atom. As for the size of the total moment: 0.00 μB/f.u.

Unit cell a=4.2004 b=8.5773 c=8.3940 alpha=109.16 beta=90.00 gamma=104.17
Sites, in units of the cell vectors:
Al  0.5806  0.1612  0.6459
Al  0.3277  0.6554  0.5779
Al  0.6723  0.3446  0.4221
Al  0.0431  0.0861  0.3780
Al  0.9569  0.9139  0.6220
Al  0.4194  0.8388  0.3541
Rb  0.8400  0.6800  0.9431
Rb  0.1600  0.3200  0.0569
Ga  0.8128  0.6255  0.3502
Ga  0.5181  0.0363  0.1661
Ga  0.4819  0.9637  0.8339
Ga  0.1872  0.3745  0.6498

=====

No. 2
Material: Nd3TmIn2
Method: DFT, PBE-GGA
State: relaxed

Computed properties:
For the energy relative to the elements, the calculation gives -346 meV/atom. The calculation puts the final energy at -4.39 eV/atom. The calculation puts the volume at 30.4 Å³/atom. The calculation puts the energy relative to the lowest polymorph listed for this composition at 0 kJ/mol of formula units. As for the size of the total moment: 0.00 μB/f.u.

Unit cell a=5.3096 b=6.8200 c=10.0673 alpha=90.00 beta=90.00 gamma=90.00
Sites, in units of the cell vectors:
Nd  0.5000  0.1953  0.8168
Nd  0.0000  0.9666  0.0340
Nd  0.0000  0.4666  0.9660
Nd  0.0000  0.3050  0.3285
Nd  0.5000  0.6953  0.1832
Nd  0.0000  0.8050  0.6715
In  0.5000  0.2109  0.1472
In  0.0000  0.2923  0.6440
In  0.5000  0.7109  0.8528
In  0.0000  0.7923  0.3560
Tm  0.5000  0.0299  0.4626
Tm  0.5000  0.5299  0.5374

=====

What is the formula in the first record?
RbAl3Ga2